No. 1
Na2AgGeO4 | PBE | optimized geometry

The structure in POSCAR format:
```
Na2AgGeO4
1.0
5.866 0.000 0.000
2.933 4.268 0.000
2.933 0.000 4.268
Ge Na O Ag
1 2 4 1
direct
0.500 0.000 0.000 Ge
0.500 0.500 0.500 Na
0.000 0.500 0.500 Na
0.479 0.668 0.000 O
0.147 0.332 0.000 O
0.521 0.000 0.332 O
0.853 0.000 0.668 O
0.000 0.000 0.000 Ag
```

Output
Symmetry: I-42m (121)
Energy (eV per atom): -4.8988
ΔE_f (raw) (eV/atom): -1.1564

***

No. 2
NaAgGe2O6 | PBE | optimized geometry

The structure in POSCAR format:
```
NaAgGe2O6
1.0
5.733 0.060 0.062
1.913 7.110 0.393
1.913 0.129 7.119
O Na Ge Ag
12 2 4 2
direct
0.352 0.324 0.377 O
0.830 0.024 0.226 O
0.887 0.375 0.859 O
0.330 0.226 0.024 O
0.170 0.976 0.774 O
0.852 0.377 0.324 O
0.613 0.141 0.625 O
0.670 0.774 0.976 O
0.648 0.676 0.623 O
0.113 0.625 0.141 O
0.387 0.859 0.375 O
0.148 0.623 0.676 O
0.250 0.907 0.093 Na
0.750 0.093 0.907 Na
0.171 0.378 0.202 Ge
0.671 0.202 0.378 Ge
0.329 0.798 0.622 Ge
0.829 0.622 0.798 Ge
0.750 0.736 0.264 Ag
0.250 0.264 0.736 Ag
```

Output
Symmetry: C2/c (15)
Energy (eV per atom): -5.5049
ΔE_f (raw) (eV/atom): -1.1895

***

No. 3
Na2AgGe3O8 | PBE | optimized geometry

The structure in POSCAR format:
```
Na2AgGe3O8
1.0
-4.205 -1.053 4.039
-5.430 -1.623 -1.730
-1.671 -6.261 0.973
Na O Ge Ag
2 8 3 1
direct
0.496 0.496 0.511 Na
0.129 0.129 0.612 Na
0.267 0.267 0.198 O
0.732 0.732 0.803 O
0.239 0.696 0.826 O
0.749 0.316 0.186 O
0.239 0.239 0.826 O
0.316 0.749 0.186 O
0.749 0.749 0.186 O
0.696 0.239 0.826 O
0.498 0.008 0.995 Ge
0.008 0.498 0.995 Ge
0.498 0.498 0.995 Ge
0.874 0.874 0.377 Ag
```

Output
Symmetry: R3m (160)
Energy (eV per atom): -5.6005
ΔE_f (raw) (eV/atom): -1.3857

***

No. 4
Na2AgGe4Pd3 | PBE | optimized geometry

The structure in POSCAR format:
```
Na2AgGe4Pd3
1.0
-0.289 -3.033 -3.060
4.300 -0.394 -0.016
-0.655 -7.446 7.444
Pd Na Ge Ag
3 2 4 1
direct
0.000 0.000 0.500 Pd
0.000 0.500 0.131 Pd
0.500 0.000 0.869 Pd
0.000 0.500 0.748 Na
0.500 0.000 0.252 Na
0.000 0.000 0.000 Ge
0.500 0.500 0.000 Ge
0.000 0.500 0.365 Ge
0.500 0.000 0.635 Ge
0.500 0.500 0.500 Ag
```

Output
Symmetry: P-4m2 (115)
Energy (eV per atom): -4.2089
Calculated formation energy (eV per atom): -0.26

***

Q: Look up the energy of the fourth one.
A: -4.2089 eV per atom

***

Q: What is the energy in the fourth record?
A: -4.2089 eV per atom

***

Q: Look up the energy of the third one.
A: -5.6005 eV per atom